This record from the Open Quantum Materials Database describes a relaxed structure of HfZn2GaPd4. The functional is PBE.

a = 4.467 Å, b = 4.467 Å, c = 6.245 Å
α = 90.00°, β = 90.00°, γ = 90.00°
Atoms (fractional coordinates):
Hf (0.000, 0.000, 0.000)
Zn (0.000, 0.000, 0.500)
Zn (0.500, 0.500, 0.000)
Ga (0.500, 0.500, 0.500)
Pd (0.000, 0.500, 0.262)
Pd (0.000, 0.500, 0.738)
Pd (0.500, 0.000, 0.262)
Pd (0.500, 0.000, 0.738)

Computed properties:
**Total energy**: -41.2 eV per cell